[1]
# KCrI2N, relaxed, DFT PBE
# Raw total energy in eV per cell: -24.07
# ΔE_f (raw) in kJ/mol of atoms: -37
data_KCrI2N
_chemical_formula_sum 'K1 Cr1 I2 N1'
_cell_length_a 5.914
_cell_length_b 5.914
_cell_length_c 3.733
_cell_angle_alpha 90.00
_cell_angle_beta 90.00
_cell_angle_gamma 90.00
_symmetry_space_group_name_H-M 'P 4/m m m'
_symmetry_Int_Tables_number 123
_symmetry_space_group_name_Hall '-P 4 2'
loop_
_atom_site_label
_atom_site_type_symbol
_atom_site_fract_x
_atom_site_fract_y
_atom_site_fract_z
_atom_site_occupancy
K1 K 0.000 0.000 0.000 1
Cr1 Cr 0.500 0.500 0.500 1
I1 I 0.000 0.500 0.500 1
N1 N 0.500 0.500 0.000 1


[2]
# KCrIN2, relaxed, DFT PBE
# Raw total energy in eV per cell: -18.83
# Offset from the most stable computed form in meV per atom: 1449
# ΔE_f (raw) in kJ/mol of atoms: 195
data_KCrIN2
_chemical_formula_sum 'K1 Cr1 I1 N2'
_cell_length_a 4.970
_cell_length_b 4.970
_cell_length_c 6.761
_cell_angle_alpha 90.00
_cell_angle_beta 90.00
_cell_angle_gamma 90.00
_symmetry_space_group_name_H-M 'P 4/m m m'
_symmetry_Int_Tables_number 123
_symmetry_space_group_name_Hall '-P 4 2'
loop_
_atom_site_label
_atom_site_type_symbol
_atom_site_fract_x
_atom_site_fract_y
_atom_site_fract_z
_atom_site_occupancy
K1 K 0.000 0.000 0.000 1
Cr1 Cr 0.500 0.500 0.500 1
I1 I 0.000 0.000 0.500 1
N1 N 0.000 0.500 0.000 1


[3]
# KNa2CrI6, relaxed, DFT PBE
# Raw total energy in eV per cell: -95.11
# ΔE_f (raw) in kJ/mol of atoms: -87
data_KNa2CrI6
_chemical_formula_sum 'K3 Na6 Cr3 I18'
_cell_length_a 7.9705
_cell_length_b 7.9705
_cell_length_c 21.5395
_cell_angle_alpha 90.00
_cell_angle_beta 90.00
_cell_angle_gamma 120.00
_symmetry_space_group_name_H-M 'R 3'
_symmetry_Int_Tables_number 146
_symmetry_space_group_name_Hall 'R 3'
loop_
_atom_site_label
_atom_site_type_symbol
_atom_site_fract_x
_atom_site_fract_y
_atom_site_fract_z
_atom_site_occupancy
K1 K 0.0000 0.0000 0.0000 1
Na1 Na 0.0000 0.0000 0.2943 1
Na2 Na 0.0000 0.0000 0.8121 1
Cr1 Cr 0.0000 0.0000 0.4867 1
I1 I 0.0080 0.2929 0.5597 1
I2 I 0.0207 0.7332 0.4099 1


[4]
# KNa2CrI, relaxed, DFT PBE
# Raw total energy in eV per cell: -13.96
# ΔE_f (raw) in kJ/mol of atoms: 18
data_KNa2CrI
_chemical_formula_sum 'K1 Na2 Cr1 I1'
_cell_length_a 5.996
_cell_length_b 5.996
_cell_length_c 5.776
_cell_angle_alpha 90.00
_cell_angle_beta 90.00
_cell_angle_gamma 90.00
_symmetry_space_group_name_H-M 'P 4/m m m'
_symmetry_Int_Tables_number 123
_symmetry_space_group_name_Hall '-P 4 2'
loop_
_atom_site_label
_atom_site_type_symbol
_atom_site_fract_x
_atom_site_fract_y
_atom_site_fract_z
_atom_site_occupancy
K1 K 0.000 0.000 0.000 1
Na1 Na 0.000 0.500 0.500 1
Cr1 Cr 0.500 0.500 0.500 1
I1 I 0.500 0.500 0.000 1


[5]
# K2NaCrI6, relaxed, DFT PBE
# Raw total energy in eV per cell: -31.99
# ΔE_f (raw) in kJ/mol of atoms: -92
data_K2NaCrI6
_chemical_formula_sum 'K2 Na1 Cr1 I6'
_cell_length_a 8.062
_cell_length_b 8.072
_cell_length_c 8.080
_cell_angle_alpha 62.91
_cell_angle_beta 62.91
_cell_angle_gamma 62.93
_symmetry_space_group_name_H-M 'P -1'
_symmetry_Int_Tables_number 2
loop_
_symmetry_equiv_pos_as_xyz
'x,y,z'
'-x,-y,-z'
loop_
_atom_site_label
_atom_site_type_symbol
_atom_site_fract_x
_atom_site_fract_y
_atom_site_fract_z
_atom_site_occupancy
K1 K 0.238 0.237 0.238 1
Na1 Na 0.500 0.500 0.500 1
Cr1 Cr 0.000 0.000 0.000 1
I1 I 0.147 0.313 0.786 1
I2 I 0.216 0.853 0.687 1
I3 I 0.313 0.785 0.148 1


[6]
# K3Na3CrI8, relaxed, DFT PBE
# Raw total energy in eV per cell: -138.46
# ΔE_f (raw) in kJ/mol of atoms: -109
data_K3Na3CrI8
_chemical_formula_sum 'K9 Na9 Cr3 I24'
_cell_length_a 9.3720
_cell_length_b 9.3720
_cell_length_c 24.3896
_cell_angle_alpha 90.00
_cell_angle_beta 90.00
_cell_angle_gamma 120.00
_symmetry_space_group_name_H-M 'R -3 m'
_symmetry_Int_Tables_number 166
_symmetry_space_group_name_Hall '-R 3 2"'
loop_
_atom_site_label
_atom_site_type_symbol
_atom_site_fract_x
_atom_site_fract_y
_atom_site_fract_z
_atom_site_occupancy
K1 K 0.0000 0.5000 0.0000 1
Na1 Na 0.0000 0.5000 0.5000 1
Cr1 Cr 0.0000 0.0000 0.5000 1
I1 I 0.0000 0.0000 0.2412 1
I2 I 0.0336 0.5168 0.2342 1


[7]
# KNb2CrI, relaxed, DFT PBE
# Raw total energy in eV per cell: -18.18
# ΔE_f (raw) in kJ/mol of atoms: 275
data_KNb2CrI
_chemical_formula_sum 'K1 Nb2 Cr1 I1'
_cell_length_a 5.000
_cell_length_b 5.000
_cell_length_c 4.182
_cell_angle_alpha 90.00
_cell_angle_beta 90.00
_cell_angle_gamma 90.00
_symmetry_space_group_name_H-M 'P 4/m m m'
_symmetry_Int_Tables_number 123
_symmetry_space_group_name_Hall '-P 4 2'
loop_
_atom_site_label
_atom_site_type_symbol
_atom_site_fract_x
_atom_site_fract_y
_atom_site_fract_z
_atom_site_occupancy
K1 K 0.000 0.000 0.000 1
Nb1 Nb 0.000 0.500 0.000 1
Cr1 Cr 0.000 0.000 0.500 1
I1 I 0.500 0.500 0.500 1


[8]
# KCrNi2I, relaxed, DFT PBE
# Raw total energy in eV per cell: -19.00
# ΔE_f (raw) in kJ/mol of atoms: 93
data_KCrNi2I
_chemical_formula_sum 'K1 Cr1 Ni2 I1'
_cell_length_a 4.854
_cell_length_b 4.854
_cell_length_c 5.203
_cell_angle_alpha 90.00
_cell_angle_beta 90.00
_cell_angle_gamma 90.00
_symmetry_space_group_name_H-M 'P 4/m m m'
_symmetry_Int_Tables_number 123
_symmetry_space_group_name_Hall '-P 4 2'
loop_
_atom_site_label
_atom_site_type_symbol
_atom_site_fract_x
_atom_site_fract_y
_atom_site_fract_z
_atom_site_occupancy
K1 K 0.000 0.000 0.000 1
Cr1 Cr 0.500 0.500 0.000 1
Ni1 Ni 0.000 0.500 0.500 1
I1 I 0.500 0.500 0.500 1